Computed, not measured: OsPdCl2 at its PBEsol-relaxed geometry at the SCAN level of DFT.

Unit cell a=6.177 b=6.177 c=6.177 alpha=90.00 beta=90.00 gamma=90.00
Space group Fm-3m (No. 225)
Asymmetric unit:
Os 0.000 0.000 0.000 x4
Pd 0.000 0.000 0.500 x4
Cl 0.250 0.250 0.250 x8

Summary:
**DOS at the Fermi energy**: 0.8999 states/eV per atom
**VASP energy**: -28.99 eV/atom
**Offset from the most stable computed form**: 0.708 eV/atom
**Formation energy (no corrections)**: 1.167 eV/atom

---

Computed, not measured: LaCoPt at its PBEsol-relaxed geometry at the SCAN level of DFT.

Unit cell a=4.1421 b=4.1421 c=4.0577 alpha=90.00 beta=90.00 gamma=120.00
Space group P-6m2 (No. 187)
Asymmetric unit:
La 0.0000 0.0000 0.0000 x1
Co 0.6667 0.3333 0.5000 x1
Pt 0.3333 0.6667 0.5000 x1

Summary:
**DOS at the Fermi energy**: 0.6824 states/eV per atom
**VASP energy**: -44.18 eV/atom
**ΔH_f (0 K)**: -0.65 eV/atom

---

Computed, not measured: KY2Ge2 at its PBEsol-relaxed geometry at the SCAN level of DFT.

Unit cell a=5.026 b=5.026 c=11.506 alpha=90.00 beta=90.00 gamma=90.00
Space group I4/mmm (No. 139)
Asymmetric unit:
K 0.000 0.000 0.000 x2
Y 0.000 0.500 0.250 x4
Ge 0.000 0.000 0.382 x4

Summary:
**DOS at the Fermi energy**: 0.9186 states/eV per atom
**VASP energy**: -20.76 eV/atom
**ΔH_f (0 K)**: -0.32 eV/atom

---

Computed, not measured: Ba2TaP at its PBEsol-relaxed geometry at the SCAN level of DFT.

Unit cell a=3.5985 b=3.5985 c=30.8889 alpha=90.00 beta=90.00 gamma=120.00
Space group R-3m (No. 166, hexagonal axes)
Asymmetric unit:
Ba 0.0000 0.0000 0.2411 x6
Ta 0.0000 0.0000 0.0000 x3
P 0.0000 0.0000 0.5000 x3

Summary:
**DOS at the Fermi energy**: 1.6418 states/eV per atom
**VASP energy**: -38.19 eV/atom
**ΔH_f (0 K)**: 0.83 eV/atom

---

Computed, not measured: ScCrAs2Rh at its PBEsol-relaxed geometry at the SCAN level of DFT.

Unit cell a=4.477 b=4.477 c=4.465 alpha=90.00 beta=90.00 gamma=90.00
Space group P4/mmm (No. 123)
Asymmetric unit:
Sc 0.000 0.000 0.000 x1
Cr 0.000 0.000 0.500 x1
As 0.000 0.500 0.500 x2
Rh 0.500 0.500 0.000 x1

Summary:
**DOS at the Fermi energy**: 0.7100 states/eV per atom
**VASP energy**: -20.98 eV/atom
**ΔH_f (0 K)**: 0.38 eV/atom

---

Computed, not measured: Mn2InPb at its PBEsol-relaxed geometry at the SCAN level of DFT.

Unit cell a=6.801 b=6.801 c=6.801 alpha=90.00 beta=90.00 gamma=90.00
Space group F-43m (No. 216)
Asymmetric unit:
Mn 0.000 0.000 0.000 x4
Mn 0.250 0.250 0.250 x4
In 0.250 0.250 0.750 x4
Pb 0.000 0.000 0.500 x4

Summary:
**DOS at the Fermi energy**: 0.9584 states/eV per atom
**VASP energy**: -36.01 eV/atom
**Offset from the most stable computed form**: 0.205 eV/atom
**ΔH_f (0 K)**: 0.40 eV/atom

---

Computed, not measured: CoAuSI2 at its PBEsol-relaxed geometry at the SCAN level of DFT.

Unit cell a=5.344 b=5.344 c=4.018 alpha=90.00 beta=90.00 gamma=90.00
Space group P4/mmm (No. 123)
Asymmetric unit:
Co 0.000 0.000 0.000 x1
Au 0.500 0.500 0.500 x1
S 0.000 0.000 0.500 x1
I 0.000 0.500 0.000 x2

Summary:
**DOS at the Fermi energy**: 0.5528 states/eV per atom
**VASP energy**: -33.42 eV/atom
**Formation energy (no corrections)**: 0.495 eV/atom

---

Computed, not measured: K3TlF at its PBEsol-relaxed geometry at the SCAN level of DFT.

Unit cell a=5.408 b=5.408 c=5.408 alpha=90.00 beta=90.00 gamma=90.00
Space group Pm-3m (No. 221)
Asymmetric unit:
K 0.000 0.000 0.500 x3
Tl 0.500 0.500 0.500 x1
F 0.000 0.000 0.000 x1

Summary:
**DOS at the Fermi energy**: 0.5874 states/eV per atom
**VASP energy**: -21.35 eV/atom
**Formation energy (no corrections)**: -1.177 eV/atom

---

Computed, not measured: NaSr3Ir at its PBEsol-relaxed geometry at the SCAN level of DFT.

Unit cell a=5.842 b=5.842 c=5.842 alpha=90.00 beta=90.00 gamma=90.00
Space group Pm-3m (No. 221)
Asymmetric unit:
Na 0.000 0.000 0.000 x1
Sr 0.000 0.500 0.500 x3
Ir 0.500 0.500 0.500 x1

Summary:
**DOS at the Fermi energy**: 0.5377 states/eV per atom
**VASP energy**: -28.59 eV/atom
**ΔH_f (0 K)**: -0.16 eV/atom

---

Computed, not measured: Ba3OsRh at its PBEsol-relaxed geometry at the SCAN level of DFT.

Unit cell a=5.630 b=5.630 c=5.630 alpha=90.00 beta=90.00 gamma=90.00
Space group Pm-3m (No. 221)
Asymmetric unit:
Ba 0.000 0.000 0.500 x3
Os 0.500 0.500 0.500 x1
Rh 0.000 0.000 0.000 x1

Summary:
**DOS at the Fermi energy**: 0.7926 states/eV per atom
**VASP energy**: -44.01 eV/atom
**ΔH_f (0 K)**: 0.85 eV/atom

---

Computed, not measured: MgNbHg2N at its PBEsol-relaxed geometry at the SCAN level of DFT.

Unit cell a=5.290 b=5.290 c=5.606 alpha=90.00 beta=90.00 gamma=90.00
Space group P4/mmm (No. 123)
Asymmetric unit:
Mg 0.000 0.000 0.000 x1
Nb 0.000 0.000 0.500 x1
Hg 0.000 0.500 0.500 x2
N 0.500 0.500 0.000 x1

Summary:
**DOS at the Fermi energy**: 0.5196 states/eV per atom
**VASP energy**: -35.03 eV/atom
**Formation energy (no corrections)**: 1.715 eV/atom

---

Computed, not measured: BaNiO3 at its PBEsol-relaxed geometry at the SCAN level of DFT.

Unit cell a=3.891 b=3.891 c=3.891 alpha=90.00 beta=90.00 gamma=90.00
Space group Pm-3m (No. 221)
Asymmetric unit:
Ba 0.000 0.000 0.000 x1
Ni 0.500 0.500 0.500 x1
O 0.000 0.500 0.500 x3

Summary:
**DOS at the Fermi energy**: 1.0495 states/eV per atom
**VASP energy**: -16.57 eV/atom
**Formation energy (no corrections)**: -1.686 eV/atom

---

Computed, not measured: CrCuPb2 at its PBEsol-relaxed geometry at the SCAN level of DFT.

Unit cell a=4.682 b=5.071 c=6.907 alpha=90.00 beta=90.00 gamma=90.00
Space group Cmmm (No. 65)
Asymmetric unit:
Cr 0.000 0.000 0.000 x2
Cu 0.000 0.000 0.500 x2
Pb 0.000 0.500 0.259 x4

Summary:
**DOS at the Fermi energy**: 0.4034 states/eV per atom
**VASP energy**: -45.94 eV/atom
**Offset from the most stable computed form**: 0.021 eV/atom
**ΔH_f (0 K)**: 0.35 eV/atom

---

Computed, not measured: Sc2TeAs at its PBEsol-relaxed geometry at the SCAN level of DFT.

Unit cell a=3.896 b=3.853 c=12.397 alpha=90.00 beta=90.00 gamma=90.00
Space group Amm2 (No. 38)
Asymmetric unit:
Sc 0.000 0.000 0.000 x2
Sc 0.500 0.000 0.304 x2
Te 0.500 0.000 0.549 x2
As 0.000 0.000 0.790 x2

Summary:
**DOS at the Fermi energy**: 0.6210 states/eV per atom
**VASP energy**: -22.64 eV/atom
**Formation energy (no corrections)**: -1.158 eV/atom

---

Computed, not measured: La3TlRu at its PBEsol-relaxed geometry at the SCAN level of DFT.

Unit cell a=7.5172 b=7.5172 c=5.8469 alpha=90.00 beta=90.00 gamma=120.00
Space group P6_3/m (No. 176)
Asymmetric unit:
La 0.1503 0.7894 0.2500 x6
Tl 0.3333 0.6667 0.7500 x2
Ru 0.0000 0.0000 0.0000 x2

Summary:
**DOS at the Fermi energy**: 0.4637 states/eV per atom
**VASP energy**: -47.83 eV/atom
**Offset from the most stable computed form**: 0.000 eV/atom
**ΔH_f (0 K)**: -0.53 eV/atom

---

Computed, not measured: As2PWBr at its PBEsol-relaxed geometry at the SCAN level of DFT.

Unit cell a=4.852 b=4.852 c=4.960 alpha=90.00 beta=90.00 gamma=90.00
Space group P4/mmm (No. 123)
Asymmetric unit:
As 0.000 0.500 0.000 x2
P 0.000 0.000 0.500 x1
W 0.500 0.500 0.000 x1
Br 0.500 0.500 0.500 x1

Summary:
**DOS at the Fermi energy**: 0.3950 states/eV per atom
**VASP energy**: -27.02 eV/atom
**Formation energy (no corrections)**: 0.970 eV/atom

---

Computed, not measured: Y2TlTc at its PBEsol-relaxed geometry at the SCAN level of DFT.

Unit cell a=6.974 b=6.974 c=6.974 alpha=90.00 beta=90.00 gamma=90.00
Space group F-43m (No. 216)
Asymmetric unit:
Y 0.000 0.000 0.000 x4
Y 0.250 0.250 0.250 x4
Tl 0.250 0.250 0.750 x4
Tc 0.000 0.000 0.500 x4

Summary:
**DOS at the Fermi energy**: 0.6754 states/eV per atom
**VASP energy**: -40.70 eV/atom
**ΔH_f (0 K)**: 0.07 eV/atom

---

Computed, not measured: Ca2RhPb at its PBEsol-relaxed geometry at the SCAN level of DFT.

Unit cell a=4.8094 b=4.8094 c=14.7763 alpha=90.00 beta=90.00 gamma=120.00
Space group R3m (No. 160, hexagonal axes)
Asymmetric unit:
Ca 0.0000 0.0000 0.0000 x3
Ca 0.0000 0.0000 0.2129 x3
Rh 0.0000 0.0000 0.4280 x3
Pb 0.0000 0.0000 0.7641 x3

Summary:
**DOS at the Fermi energy**: 0.8165 states/eV per atom
**VASP energy**: -32.67 eV/atom
**ΔH_f (0 K)**: -0.45 eV/atom

---

Computed, not measured: Eu at its PBEsol-relaxed geometry at the SCAN level of DFT.

Unit cell a=5.327 b=5.327 c=5.327 alpha=90.00 beta=90.00 gamma=90.00
Space group Fm-3m (No. 225)
Asymmetric unit:
Eu 0.000 0.000 0.000 x4

Summary:
**DOS at the Fermi energy**: 1.2909 states/eV per atom
**VASP energy**: -53.70 eV/atom
**Offset from the most stable computed form**: 0.011 eV/atom
**ΔH_f (0 K)**: 0.01 eV/atom

---

Computed, not measured: BaCoOs2 at its PBEsol-relaxed geometry at the SCAN level of DFT.

Unit cell a=3.743 b=3.743 c=5.114 alpha=90.00 beta=90.00 gamma=90.00
Space group P4/mmm (No. 123)
Asymmetric unit:
Ba 0.000 0.000 0.000 x1
Co 0.500 0.500 0.000 x1
Os 0.000 0.500 0.500 x2

Summary:
**DOS at the Fermi energy**: 0.9479 states/eV per atom
**VASP energy**: -48.53 eV/atom
**Offset from the most stable computed form**: 0.860 eV/atom
**ΔH_f (0 K)**: 1.63 eV/atom